Material: LaZn2Ru
Method: DFT, PBE
State: relaxed

Structure (POSCAR):
```
LaZn2Ru
1.0
4.6145 0.0000 0.0000
0.0000 3.3411 0.0042
0.0000 1.6823 5.1080
Zn Ru La
2 1 1
Direct
0.0000 0.5905 0.5538
0.0000 0.9095 0.9462
0.5000 0.7500 0.7500
0.5000 0.2500 0.2500
```

Output
Crystal system   monoclinic
E_form   -0.12 eV per atom
Symmetry   P2/m